Entry 1:
Compound: SmInAs2
Source: Alexandria via LeMat-Bulk
Functional: PBE
Structure: optimized geometry

Calculated values
formation enthalpy at 0 K: -1.6 eV per formula unit
V: 35.43 Å³/atom
crystal system: trigonal

Cell: 4.6183 4.6183 23.0180 Å, 90.00 90.00 120.00°
Closest atoms and distances in Å follow each position.
Space group R-3m (No. 166, hexagonal axes)
Unique sites:
Sm: 0.0000 0.0000 0.0000 (multiplicity 3)  6 As 3.00
In: 0.0000 0.0000 0.5000 (multiplicity 3)  2 As 2.47
As: 0.0000 0.0000 0.3926 (multiplicity 6)  1 In 2.47


Entry 2:
Compound: NdSm2Er6
Source: Alexandria via LeMat-Bulk
Functional: PBE
Structure: optimized geometry

Calculated values
formation enthalpy at 0 K: 2.1 eV per formula unit
V: 32.15 Å³/atom
crystal system: trigonal

Cell: 7.4420 7.4420 6.0317 Å, 90.00 90.00 120.00°
Closest atoms and distances in Å follow each position.
Space group P-3m1 (No. 164)
Unique sites:
Nd: 0.0000 0.0000 0.0000 (multiplicity 1)  6 Er 3.01
Sm: 0.3333 0.6667 0.7880 (multiplicity 2)  12 Er 3.51-3.77
Er: 0.1872 0.3745 0.2974 (multiplicity 6)  1 Nd 3.01, 2 Er 3.26


Entry 3:
Compound: Ho6Tl2Tc
Source: Alexandria via LeMat-Bulk
Functional: PBE
Structure: optimized geometry

Calculated values
formation enthalpy at 0 K: -2.1 eV per formula unit
V: 27.45 Å³/atom
crystal system: hexagonal

Cell: 8.5476 8.5476 3.9037 Å, 90.00 90.00 120.00°
Closest atoms and distances in Å follow each position.
Space group P-62m (No. 189)
Unique sites:
Ho: 0.0000 0.3856 0.0000 (multiplicity 3)  4 Tl 3.29, 1 Tc 3.30, 4 Ho 3.48
Ho: 0.0000 0.7590 0.5000 (multiplicity 3)  2 Tc 2.84
Tl: 0.3333 0.6667 0.5000 (multiplicity 2)  9 Ho 3.29-3.32
Tc: 0.0000 0.0000 0.0000 (multiplicity 1)  6 Ho 2.84


Please write out number 2 again, unchanged.
Compound: NdSm2Er6
Source: Alexandria via LeMat-Bulk
Functional: PBE
Structure: optimized geometry

Calculated values
formation enthalpy at 0 K: 2.1 eV per formula unit
V: 32.15 Å³/atom
crystal system: trigonal

Cell: 7.4420 7.4420 6.0317 Å, 90.00 90.00 120.00°
Closest atoms and distances in Å follow each position.
Space group P-3m1 (No. 164)
Unique sites:
Nd: 0.0000 0.0000 0.0000 (multiplicity 1)  6 Er 3.01
Sm: 0.3333 0.6667 0.7880 (multiplicity 2)  12 Er 3.51-3.77
Er: 0.1872 0.3745 0.2974 (multiplicity 6)  1 Nd 3.01, 2 Er 3.26


Question: What is the V in the second record?
Answer: 32.15 Å³/atom


Question: Number 1 is which compound?
Answer: SmInAs2